(1)
A plane-wave DFT calculation with PBE was carried out for a geometry-optimized Na2SrMo2 structure.

The structure in POSCAR format:
```
Na2SrMo2
1.0
3.550 0.000 0.000
0.000 3.550 0.000
1.775 1.775 12.416
Sr Mo Na
1 2 2
Direct
0.000 0.000 0.000
0.750 0.250 0.500
0.250 0.750 0.500
0.365 0.365 0.269
0.635 0.635 0.731
```

Properties
The value obtained for the spin magnetization is 0.00 μB per cell. Its crystal system is tetragonal. The formation energy from the elements is 0.765 eV/atom. The value obtained for the energy is -4.431 eV per atom. The symmetry is I4/mmm.

***

(2)
A plane-wave DFT calculation with PBE was carried out for a geometry-optimized SrZn4 structure.

The structure in POSCAR format:
```
SrZn4
1.0
0.075 0.373 6.164
-2.318 5.219 -2.351
-3.513 -4.776 -1.730
Sr Zn
1 4
Direct
0.000 0.000 0.000
0.500 0.000 0.000
0.500 0.500 0.500
0.000 0.500 0.000
0.000 0.000 0.500
```

Properties
The value obtained for the spin magnetization is 0.00 μB per cell. Its crystal system is cubic. The formation energy from the elements is 0.573 eV/atom. The value obtained for the energy is -0.782 eV per atom. The symmetry is Im-3m.

***

(3)
A plane-wave DFT calculation with PBE was carried out for a geometry-optimized MoRhW structure.

The structure in POSCAR format:
```
MoRhW
1.0
-2.215 -2.823 -2.295
1.422 -3.994 -0.412
-2.035 -3.197 1.945
Mo Rh W
1 1 1
Direct
0.000 0.000 0.000
0.500 0.500 0.500
0.750 0.750 0.750
```

Properties
The value obtained for the spin magnetization is 0.00 μB per cell. Its crystal system is cubic. The formation energy from the elements is 0.716 eV/atom. The value obtained for the energy is -9.663 eV per atom. The symmetry is F-43m.

***

(4)
A plane-wave DFT calculation with PBE was carried out for a geometry-optimized CsTl2V2 structure.

The structure in POSCAR format:
```
CsTl2V2
1.0
3.437 0.000 0.000
0.000 3.437 0.000
1.718 1.718 11.291
Cs Tl V
1 2 2
Direct
0.000 0.000 0.000
0.363 0.363 0.275
0.637 0.637 0.725
0.750 0.250 0.500
0.250 0.750 0.500
```

Properties
The value obtained for the spin magnetization is 0.00 μB per cell. Its crystal system is tetragonal. The formation energy from the elements is 0.469 eV/atom. The value obtained for the energy is -4.296 eV per atom. The symmetry is I4/mmm.

***

(5)
A plane-wave DFT calculation with PBE was carried out for a geometry-optimized Ga2IrRu structure.

The structure in POSCAR format:
```
Ga2IrRu
1.0
-2.495 2.861 -5.675
2.349 -5.250 -3.680
-2.495 -2.546 -4.294
Ru Ir Ga
2 2 4
Direct
0.500 0.500 0.000
0.250 0.750 0.500
0.000 0.000 0.000
0.750 0.250 0.500
0.630 0.125 0.250
0.120 0.625 0.250
0.375 0.370 0.750
0.875 0.880 0.750
```

Properties
The value obtained for the spin magnetization is 0.00 μB per cell. Its crystal system is tetragonal. The formation energy from the elements is 0.226 eV/atom. The value obtained for the energy is -5.822 eV per atom. The symmetry is I-42d.

***

Among the records above, which one has the highest energy?
SrZn4

***

The highest formation energy from the elements belongs to which entry?
Na2SrMo2